## NaPmNiF6 (PBE with a Hubbard U)

Data for an optimized crystal structure of NaPmNiF6.

**Electronic total energy**: -5.306 eV per atom
**Symmetry**: No. 163
**Spin magnetization**: 3.81 μB/cell

Cell lengths 5.744, 5.744, 9.323 Å; angles 90.00, 90.00, 120.00 degrees
Each line ends with the local moment (μB).
Sites, in units of the cell vectors:
1 Na 0.000 0.000 0.000  0.00
2 Na 0.000 0.000 0.500  0.00
3 Pm 0.333 0.667 0.250  0.00
4 Pm 0.667 0.333 0.750  0.00
5 Ni 0.667 0.333 0.250  1.79
6 Ni 0.333 0.667 0.750  1.79
7 F 0.663 0.631 0.133  0.02
8 F 0.968 0.337 0.133  0.02
9 F 0.337 0.968 0.633  0.02
10 F 0.032 0.663 0.867  0.02
11 F 0.369 0.337 0.367  0.02
12 F 0.968 0.631 0.367  0.02
13 F 0.631 0.968 0.867  0.02
14 F 0.663 0.032 0.367  0.02
15 F 0.032 0.369 0.633  0.02
16 F 0.369 0.032 0.133  0.02
17 F 0.631 0.663 0.633  0.02
18 F 0.337 0.369 0.867  0.02